Record 1
VASP calculation (PBE) on a geometry-optimized Ba2TbTlSe5 structure.

Summary:
Formation energy (no corrections) = -1.525 eV per atom
M_tot = 0.00 μB/atom
Space-group type = Cmc2_1, No. 36
Volume = 31.24 Å³/atom

a = 9.8405 Å, b = 9.8405 Å, c = 13.5018 Å
α = 90.00°, β = 90.00°, γ = 154.53°
Closest atoms and distances in Å follow each position.
Sites, in units of the cell vectors:
Ba 0.1195 0.8805 0.5000  8 Se 3.31-3.68
Ba 0.1356 0.8644 0.1307  7 Se 3.34-3.48
Ba 0.8644 0.1356 0.6307  7 Se 3.34-3.48
Ba 0.8805 0.1195 0.0000  8 Se 3.31-3.68
Tb 0.2106 0.7894 0.8325  6 Se 2.79-3.10
Tb 0.7894 0.2106 0.3325  6 Se 2.79-3.10
Tl 0.4539 0.5461 0.2584  4 Se 2.61-2.89
Tl 0.5461 0.4539 0.7584  4 Se 2.61-2.89
Se 0.0522 0.9478 0.8782  2 Tl 2.71
Se 0.2915 0.7085 0.4728  2 Tb 2.88
Se 0.3125 0.6875 0.1857  1 Tl 2.89, 2 Tb 2.97
Se 0.3553 0.6447 0.8184  1 Tb 2.79
Se 0.4933 0.5067 0.5801  1 Tl 2.61
Se 0.5067 0.4933 0.0801  1 Tl 2.61
Se 0.6447 0.3553 0.3184  1 Tb 2.79
Se 0.6875 0.3125 0.6857  1 Tl 2.89, 2 Tb 2.97
Se 0.7085 0.2915 0.9728  2 Tb 2.88
Se 0.9478 0.0522 0.3782  2 Tl 2.71

---

Record 2
VASP calculation (PBE) on a geometry-optimized Ba2TbTlSe4 structure.

Summary:
Formation energy (no corrections) = -1.626 eV per atom
M_tot = 0.00 μB/atom
Space-group type = P2/m, No. 10
Volume = 32.99 Å³/atom

a = 7.6597 Å, b = 4.5195 Å, c = 8.0593 Å
α = 90.00°, β = 108.94°, γ = 90.00°
Closest atoms and distances in Å follow each position.
Sites, in units of the cell vectors:
Ba 0.0000 0.0000 0.0000  6 Se 3.40-3.49
Ba 0.0000 0.5000 0.5000  6 Se 3.20
Tb 0.5000 0.0000 0.5000  6 Se 2.91-3.03
Tl 0.5000 0.5000 0.0000  6 Se 3.22-3.25
Se 0.2705 0.0000 0.7255  1 Tb 2.91, 2 Ba 3.20, 2 Tl 3.25
Se 0.2785 0.5000 0.2784  2 Tb 3.03, 1 Ba 3.20, 1 Tl 3.22
Se 0.7215 0.5000 0.7216  2 Tb 3.03, 1 Ba 3.20, 1 Tl 3.22
Se 0.7295 0.0000 0.2745  1 Tb 2.91, 2 Ba 3.20, 2 Tl 3.25